VASP calculation (GGA-PBE) on a relaxed structure of Si2TeW.

- formation energy from raw total energies (meV per atom) = 500

Unit cell a=9.0893 b=9.0893 c=9.0893 alpha=19.85 beta=19.85 gamma=19.85
Last column: nearest neighbours and their distance in Å.
Fractional positions:
Si 0.0000 0.0000 0.0000  3 Si 2.61
Si 0.2629 0.2629 0.2629  3 Si 2.61, 3 W 2.63
Te 0.7797 0.7797 0.7797  3 W 2.76
W 0.5246 0.5246 0.5246  3 Si 2.63, 3 Te 2.76